A.
First-principles (PBE-GGA) data for FeOs2I after structural relaxation, as listed in the Alexandria database.

Computed properties:
**Space group**: Fm-3m (225)
**Total moment**: 3.810 Bohr magnetons per cell
**D(E_F)**: 5.81 states/eV per cell

a b c (Å): 4.478 4.478 4.478
angles (deg): 60.00 60.00 60.00
Site moments in Bohr magnetons follow the coordinates.
Sites, in units of the cell vectors:
I 0.500 0.500 0.500  0.02
Os 0.250 0.250 0.250  0.45
Os 0.750 0.750 0.750  0.45
Fe 0.000 0.000 0.000  2.85


B.
First-principles (PBE-GGA) data for FeOs2I after structural relaxation, as listed in the Alexandria database.

Computed properties:
**Space group**: I-42d (122)
**Total moment**: 0.000 Bohr magnetons per cell
**D(E_F)**: 17.65 states/eV per cell

a b c (Å): 5.574 5.574 6.824
angles (deg): 65.89 65.89 90.00
Sites, in units of the cell vectors:
I 0.000 0.000 0.000
I 0.750 0.250 0.500
Os 0.570 0.125 0.250
Os 0.180 0.625 0.250
Os 0.375 0.430 0.750
Os 0.875 0.820 0.750
Fe 0.500 0.500 0.000
Fe 0.250 0.750 0.500


The data favor A; the next most stable structure lies 211 meV/atom above it.


A.
First-principles (PBE-GGA) data for FeOsI2 after structural relaxation, as listed in the Alexandria database.

Computed properties:
**Space group**: I-42d (122)
**Total moment**: 0.000 Bohr magnetons per cell
**D(E_F)**: 10.12 states/eV per cell

a b c (Å): 5.842 5.842 7.074
angles (deg): 65.61 65.61 90.00
Sites, in units of the cell vectors:
I 0.607 0.125 0.250
I 0.143 0.625 0.250
I 0.375 0.393 0.750
I 0.875 0.857 0.750
Os 0.000 0.000 0.000
Os 0.750 0.250 0.500
Fe 0.500 0.500 0.000
Fe 0.250 0.750 0.500


B.
First-principles (PBE-GGA) data for FeOsI2 after structural relaxation, as listed in the Alexandria database.

Computed properties:
**Space group**: Fm-3m (225)
**Total moment**: 2.267 Bohr magnetons per cell
**D(E_F)**: 3.43 states/eV per cell

a b c (Å): 4.792 4.792 4.792
angles (deg): 60.00 60.00 60.00
Site moments in Bohr magnetons follow the coordinates.
Sites, in units of the cell vectors:
I 0.250 0.250 0.250  -0.02
I 0.750 0.750 0.750  -0.02
Os 0.500 0.500 0.500  -0.28
Fe 0.000 0.000 0.000  2.67


The data favor A; the next most stable structure lies 134 meV/atom above it.


A.
First-principles (PBE-GGA) data for FeOs2I2 after structural relaxation, as listed in the Alexandria database.

Computed properties:
**Space group**: P4/mbm (127)
**Total moment**: 5.720 Bohr magnetons per cell
**D(E_F)**: 10.75 states/eV per cell

a b c (Å): 7.778 7.778 3.198
angles (deg): 90.00 90.00 90.00
Site moments in Bohr magnetons follow the coordinates.
Sites, in units of the cell vectors:
I 0.327 0.827 0.000  -0.01
I 0.827 0.673 0.000  -0.01
I 0.673 0.173 0.000  -0.01
I 0.173 0.327 0.000  -0.01
Os 0.129 0.629 0.500  0.02
Os 0.629 0.871 0.500  0.02
Os 0.871 0.371 0.500  0.02
Os 0.371 0.129 0.500  0.02
Fe 0.000 0.000 0.000  2.89
Fe 0.500 0.500 0.000  2.87


B.
First-principles (PBE-GGA) data for FeOs2I2 after structural relaxation, as listed in the Alexandria database.

Computed properties:
**Space group**: I4/mmm (139)
**Total moment**: 0.105 Bohr magnetons per cell
**D(E_F)**: 9.60 states/eV per cell

a b c (Å): 3.494 3.494 9.105
angles (deg): 78.94 78.94 90.00
Site moments in Bohr magnetons follow the coordinates.
Sites, in units of the cell vectors:
I 0.408 0.408 0.185  0.00
I 0.592 0.592 0.815  0.00
Os 0.750 0.250 0.500  -0.10
Os 0.250 0.750 0.500  -0.10
Fe 0.000 0.000 0.000  0.09


The data favor B; the next most stable structure lies 206 meV/atom above it.


A.
First-principles (PBE-GGA) data for Fe2OsI after structural relaxation, as listed in the Alexandria database.

Computed properties:
**Space group**: Fm-3m (225)
**Total moment**: 4.076 Bohr magnetons per cell
**D(E_F)**: 2.90 states/eV per cell

a b c (Å): 4.383 4.383 4.383
angles (deg): 60.00 60.00 60.00
Site moments in Bohr magnetons follow the coordinates.
Sites, in units of the cell vectors:
I 0.000 0.000 0.000  -0.03
Os 0.500 0.500 0.500  0.48
Fe 0.250 0.250 0.250  1.84
Fe 0.750 0.750 0.750  1.84


B.
First-principles (PBE-GGA) data for Fe2OsI after structural relaxation, as listed in the Alexandria database.

Computed properties:
**Space group**: I-42d (122)
**Total moment**: 2.142 Bohr magnetons per cell
**D(E_F)**: 7.26 states/eV per cell

a b c (Å): 5.645 5.645 6.533
angles (deg): 64.40 64.40 90.00
Site moments in Bohr magnetons follow the coordinates.
Sites, in units of the cell vectors:
I 0.500 0.500 0.000  0.01
I 0.250 0.750 0.500  0.01
Os 0.000 0.000 0.000  -0.14
Os 0.750 0.250 0.500  -0.13
Fe 0.662 0.125 0.250  0.56
Fe 0.088 0.625 0.250  0.52
Fe 0.375 0.338 0.750  0.55
Fe 0.875 0.912 0.750  0.64


The data favor A; the next most stable structure lies 15 meV/atom above it.


A.
First-principles (PBE-GGA) data for FePbI3 after structural relaxation, as listed in the Alexandria database.

Computed properties:
**Space group**: Pm-3m (221)
**Total moment**: 4.737 Bohr magnetons per cell
**D(E_F)**: 54.75 states/eV per cell

a b c (Å): 6.254 6.254 6.254
angles (deg): 90.00 90.00 90.00
Site moments in Bohr magnetons follow the coordinates.
Sites, in units of the cell vectors:
Pb 0.000 0.000 0.000  0.00
I 0.000 0.500 0.000  0.06
I 0.000 0.000 0.500  0.04
I 0.500 0.000 0.000  0.03
Fe 0.500 0.500 0.500  3.81


B.
First-principles (PBE-GGA) data for FePbI3 after structural relaxation, as listed in the Alexandria database.

Computed properties:
**Space group**: Pm-3m (221)
**Total moment**: 2.957 Bohr magnetons per cell
**D(E_F)**: 8.25 states/eV per cell

a b c (Å): 5.496 5.496 5.496
angles (deg): 90.00 90.00 90.00
Site moments in Bohr magnetons follow the coordinates.
Sites, in units of the cell vectors:
Pb 0.500 0.500 0.500  -0.21
I 0.000 0.500 0.000  0.07
I 0.000 0.000 0.500  0.05
I 0.500 0.000 0.000  0.09
Fe 0.000 0.000 0.000  3.09


The data favor B; the next most stable structure lies 431 meV/atom above it.


A.
First-principles (PBE-GGA) data for FePb2I after structural relaxation, as listed in the Alexandria database.

Computed properties:
**Space group**: Fm-3m (225)
**Total moment**: 2.949 Bohr magnetons per cell
**D(E_F)**: 7.99 states/eV per cell

a b c (Å): 5.452 5.452 5.452
angles (deg): 60.00 60.00 60.00
Site moments in Bohr magnetons follow the coordinates.
Sites, in units of the cell vectors:
Pb 0.250 0.250 0.250  -0.05
Pb 0.750 0.750 0.750  -0.05
I 0.500 0.500 0.500  0.00
Fe 0.000 0.000 0.000  3.01


B.
First-principles (PBE-GGA) data for FePb2I after structural relaxation, as listed in the Alexandria database.

Computed properties:
**Space group**: I-42d (122)
**Total moment**: 0.000 Bohr magnetons per cell
**D(E_F)**: 6.66 states/eV per cell

a b c (Å): 6.674 6.674 8.078
angles (deg): 65.60 65.60 90.00
Sites, in units of the cell vectors:
Pb 0.507 0.125 0.250
Pb 0.243 0.625 0.250
Pb 0.375 0.493 0.750
Pb 0.875 0.757 0.750
I 0.000 0.000 0.000
I 0.750 0.250 0.500
Fe 0.500 0.500 0.000
Fe 0.250 0.750 0.500


The data favor B; the next most stable structure lies 121 meV/atom above it.


A.
First-principles (PBE-GGA) data for FeSbPbI2 after structural relaxation, as listed in the Alexandria database.

Computed properties:
**Space group**: P4/mmm (123)
**Total moment**: 5.276 Bohr magnetons per cell
**D(E_F)**: 7.24 states/eV per cell

a b c (Å): 6.148 6.148 6.091
angles (deg): 90.00 90.00 90.00
Site moments in Bohr magnetons follow the coordinates.
Sites, in units of the cell vectors:
Pb 0.000 0.000 0.000  0.01
I 0.000 0.500 0.000  0.07
I 0.500 0.000 0.000  0.07
Fe 0.500 0.500 0.500  3.47
Sb 0.000 0.000 0.500  0.40


B.
First-principles (PBE-GGA) data for FeSbPbI2 after structural relaxation, as listed in the Alexandria database.

Computed properties:
**Space group**: P4/mmm (123)
**Total moment**: 2.975 Bohr magnetons per cell
**D(E_F)**: 7.38 states/eV per cell

a b c (Å): 5.469 5.469 5.142
angles (deg): 90.00 90.00 90.00
Site moments in Bohr magnetons follow the coordinates.
Sites, in units of the cell vectors:
Pb 0.500 0.500 0.500  0.07
I 0.000 0.500 0.000  0.03
I 0.500 0.000 0.000  0.03
Fe 0.000 0.000 0.000  2.62
Sb 0.000 0.000 0.500  -0.04


The data favor B; the next most stable structure lies 641 meV/atom above it.


A.
First-principles (PBE-GGA) data for FeTe2PbI after structural relaxation, as listed in the Alexandria database.

Computed properties:
**Space group**: P4/mmm (123)
**Total moment**: 3.242 Bohr magnetons per cell
**D(E_F)**: 5.61 states/eV per cell

a b c (Å): 5.159 5.159 5.670
angles (deg): 90.00 90.00 90.00
Site moments in Bohr magnetons follow the coordinates.
Sites, in units of the cell vectors:
Pb 0.500 0.500 0.500  0.01
I 0.000 0.000 0.500  0.05
Te 0.000 0.500 0.000  0.09
Te 0.500 0.000 0.000  0.09
Fe 0.000 0.000 0.000  2.68


B.
First-principles (PBE-GGA) data for FeTe2PbI after structural relaxation, as listed in the Alexandria database.

Computed properties:
**Space group**: P4/mmm (123)
**Total moment**: 3.843 Bohr magnetons per cell
**D(E_F)**: 9.78 states/eV per cell

a b c (Å): 5.885 5.885 6.065
angles (deg): 90.00 90.00 90.00
Site moments in Bohr magnetons follow the coordinates.
Sites, in units of the cell vectors:
Pb 0.000 0.000 0.000  -0.01
I 0.000 0.000 0.500  0.04
Te 0.000 0.500 0.000  0.00
Te 0.500 0.000 0.000  0.00
Fe 0.500 0.500 0.500  3.43


The data favor A; the next most stable structure lies 798 meV/atom above it.


A.
First-principles (PBE-GGA) data for FeTePdI2 after structural relaxation, as listed in the Alexandria database.

Computed properties:
**Space group**: P4/mmm (123)
**Total moment**: 2.655 Bohr magnetons per cell
**D(E_F)**: 5.46 states/eV per cell

a b c (Å): 5.058 5.058 4.974
angles (deg): 90.00 90.00 90.00
Site moments in Bohr magnetons follow the coordinates.
Sites, in units of the cell vectors:
I 0.000 0.500 0.000  0.02
I 0.500 0.000 0.000  0.02
Te 0.500 0.500 0.500  -0.10
Fe 0.000 0.000 0.000  2.47
Pd 0.000 0.000 0.500  0.26


B.
First-principles (PBE-GGA) data for FeTePdI2 after structural relaxation, as listed in the Alexandria database.

Computed properties:
**Space group**: P4/mmm (123)
**Total moment**: 3.141 Bohr magnetons per cell
**D(E_F)**: 8.52 states/eV per cell

a b c (Å): 5.426 5.426 5.030
angles (deg): 90.00 90.00 90.00
Site moments in Bohr magnetons follow the coordinates.
Sites, in units of the cell vectors:
I 0.000 0.500 0.000  0.05
I 0.500 0.000 0.000  0.05
Te 0.000 0.000 0.500  0.04
Fe 0.000 0.000 0.000  2.71
Pd 0.500 0.500 0.500  0.05


The data favor B; the next most stable structure lies 40 meV/atom above it.


A.
First-principles (PBE-GGA) data for PmFeI after structural relaxation, as listed in the Alexandria database.

Computed properties:
**Space group**: R-3m (166)
**Total moment**: 2.339 Bohr magnetons per cell
**D(E_F)**: 2.61 states/eV per cell

a b c (Å): 4.033 4.033 12.719
angles (deg): 80.88 80.88 60.00
Site moments in Bohr magnetons follow the coordinates.
Sites, in units of the cell vectors:
Pm 0.447 0.447 0.660  -0.18
Pm 0.553 0.553 0.340  -0.18
Fe 0.166 0.166 0.503  1.54
Fe 0.834 0.834 0.497  1.54
I 0.721 0.721 0.837  0.00
I 0.279 0.279 0.163  0.00


B.
First-principles (PBE-GGA) data for PmFeI after structural relaxation, as listed in the Alexandria database.

Computed properties:
**Space group**: C2/m (12)
**Total moment**: 3.992 Bohr magnetons per cell
**D(E_F)**: 5.21 states/eV per cell

a b c (Å): 3.713 6.619 6.626
angles (deg): 86.02 90.00 106.29
Site moments in Bohr magnetons follow the coordinates.
Sites, in units of the cell vectors:
Pm 0.150 0.299 0.844  -0.17
Pm 0.850 0.701 0.156  -0.17
I 0.427 0.854 0.762  0.01
I 0.573 0.146 0.238  0.01
Fe 0.218 0.436 0.409  2.25
Fe 0.782 0.564 0.591  2.25


The data favor A; the next most stable structure lies 557 meV/atom above it.


A.
First-principles (PBE-GGA) data for Fe2PtI after structural relaxation, as listed in the Alexandria database.

Computed properties:
**Space group**: Fm-3m (225)
**Total moment**: 5.620 Bohr magnetons per cell
**D(E_F)**: 5.11 states/eV per cell

a b c (Å): 4.518 4.518 4.518
angles (deg): 60.00 60.00 60.00
Site moments in Bohr magnetons follow the coordinates.
Sites, in units of the cell vectors:
I 0.000 0.000 0.000  0.04
Fe 0.250 0.250 0.250  2.68
Fe 0.750 0.750 0.750  2.68
Pt 0.500 0.500 0.500  0.30


B.
First-principles (PBE-GGA) data for Fe2PtI after structural relaxation, as listed in the Alexandria database.

Computed properties:
**Space group**: I-42d (122)
**Total moment**: 14.000 Bohr magnetons per cell
**D(E_F)**: 7.97 states/eV per cell

a b c (Å): 5.868 5.868 7.189
angles (deg): 65.91 65.91 90.00
Site moments in Bohr magnetons follow the coordinates.
Sites, in units of the cell vectors:
I 0.500 0.500 0.000  0.08
I 0.250 0.750 0.500  0.08
Fe 0.666 0.125 0.250  3.09
Fe 0.084 0.625 0.250  3.09
Fe 0.375 0.334 0.750  3.11
Fe 0.875 0.916 0.750  3.13
Pt 0.000 0.000 0.000  0.53
Pt 0.750 0.250 0.500  0.53


The data favor A; the next most stable structure lies 42 meV/atom above it.


A.
First-principles (PBE-GGA) data for Fe2PtI2 after structural relaxation, as listed in the Alexandria database.

Computed properties:
**Space group**: I4/mmm (139)
**Total moment**: 5.208 Bohr magnetons per cell
**D(E_F)**: 4.14 states/eV per cell

a b c (Å): 3.550 3.550 8.372
angles (deg): 77.76 77.76 90.00
Site moments in Bohr magnetons follow the coordinates.
Sites, in units of the cell vectors:
I 0.379 0.379 0.243  0.06
I 0.621 0.621 0.757  0.06
Fe 0.750 0.250 0.500  2.59
Fe 0.250 0.750 0.500  2.59
Pt 0.000 0.000 0.000  -0.12


B.
First-principles (PBE-GGA) data for Fe2PtI2 after structural relaxation, as listed in the Alexandria database.

Computed properties:
**Space group**: P4/mbm (127)
**Total moment**: 0.000 Bohr magnetons per cell
**D(E_F)**: 19.78 states/eV per cell

a b c (Å): 7.470 7.470 3.207
angles (deg): 90.00 90.00 90.00
Sites, in units of the cell vectors:
I 0.338 0.838 0.000
I 0.838 0.662 0.000
I 0.662 0.162 0.000
I 0.162 0.338 0.000
Fe 0.135 0.635 0.500
Fe 0.635 0.865 0.500
Fe 0.865 0.365 0.500
Fe 0.365 0.135 0.500
Pt 0.000 0.000 0.000
Pt 0.500 0.500 0.000


The data favor A; the next most stable structure lies 503 meV/atom above it.


A.
First-principles (PBE-GGA) data for FeRuPt2I after structural relaxation, as listed in the Alexandria database.

Computed properties:
**Space group**: P4/mmm (123)
**Total moment**: 3.606 Bohr magnetons per cell
**D(E_F)**: 5.91 states/eV per cell

a b c (Å): 4.890 4.890 4.652
angles (deg): 90.00 90.00 90.00
Site moments in Bohr magnetons follow the coordinates.
Sites, in units of the cell vectors:
I 0.500 0.500 0.500  0.03
Ru 0.000 0.000 0.000  0.27
Fe 0.000 0.000 0.500  3.24
Pt 0.000 0.500 0.000  -0.04
Pt 0.500 0.000 0.000  -0.04


B.
First-principles (PBE-GGA) data for FeRuPt2I after structural relaxation, as listed in the Alexandria database.

Computed properties:
**Space group**: P4/mmm (123)
**Total moment**: 3.791 Bohr magnetons per cell
**D(E_F)**: 7.85 states/eV per cell

a b c (Å): 4.812 5.233 4.812
angles (deg): 90.00 90.00 90.00
Site moments in Bohr magnetons follow the coordinates.
Sites, in units of the cell vectors:
I 0.000 0.500 0.000  0.04
Ru 0.000 0.000 0.000  0.12
Fe 0.500 0.500 0.500  3.31
Pt 0.000 0.000 0.500  0.06
Pt 0.500 0.000 0.000  0.04


The data favor A; the next most stable structure lies 211 meV/atom above it.